Arrangement one

DFT (GGA-PBE) results for a geometry-optimized PaFeB structure.

The structure belongs to space group F-43m (No. 216); the cell edges are 5.7599, 5.7599 and 5.7599 Å and the angles 90.00°, 90.00° and 90.00°. The inequivalent atoms are Pa at (0.0000, 0.0000, 0.0000), Fe at (0.0000, 0.0000, 0.5000) and B at (0.2500, 0.2500, 0.7500).

Arrangement two

DFT (GGA-PBE) results for a geometry-optimized PaFeB structure.

The structure belongs to space group F-43m (No. 216); the cell edges are 5.7453, 5.7453 and 5.7453 Å and the angles 90.00°, 90.00° and 90.00°. The inequivalent atoms are Pa at (0.0000, 0.0000, 0.0000), Fe at (0.2500, 0.2500, 0.7500) and B at (0.0000, 0.0000, 0.5000).

Arrangement three

DFT (GGA-PBE) results for a geometry-optimized PaFeB structure.

The structure belongs to space group F-43m (No. 216); the cell edges are 5.8808, 5.8808 and 5.8808 Å and the angles 90.00°, 90.00° and 90.00°. The inequivalent atoms are Pa at (0.0000, 0.0000, 0.0000), Fe at (0.2500, 0.2500, 0.2500) and B at (0.2500, 0.2500, 0.7500).

Which one sits at the bottom of the stability order? arrangement three does.

Arrangement one

DFT (GGA-PBE) results for a geometry-optimized ScFeBPd structure.

The structure belongs to space group F-43m (No. 216); the cell edges are 5.8429, 5.8429 and 5.8429 Å and the angles 90.00°, 90.00° and 90.00°. The inequivalent atoms are Sc at (0.0000, 0.0000, 0.0000), Fe at (0.2500, 0.2500, 0.7500), B at (0.0000, 0.0000, 0.5000) and Pd at (0.2500, 0.2500, 0.2500).

Arrangement two

DFT (GGA-PBE) results for a geometry-optimized ScFeBPd structure.

The structure belongs to space group F-43m (No. 216); the cell edges are 6.0310, 6.0310 and 6.0310 Å and the angles 90.00°, 90.00° and 90.00°. The inequivalent atoms are Sc at (0.0000, 0.0000, 0.0000), Fe at (0.0000, 0.0000, 0.5000), B at (0.2500, 0.2500, 0.2500) and Pd at (0.2500, 0.2500, 0.7500).

Which one sits at the bottom of the stability order? arrangement two does.

Arrangement one

DFT (GGA-PBE) results for a geometry-optimized PmFeB structure.

The structure belongs to space group F-43m (No. 216); the cell edges are 6.1109, 6.1109 and 6.1109 Å and the angles 90.00°, 90.00° and 90.00°. The inequivalent atoms are Pm at (0.0000, 0.0000, 0.0000), Fe at (0.2500, 0.2500, 0.2500) and B at (0.2500, 0.2500, 0.7500).

Arrangement two

DFT (GGA-PBE) results for a geometry-optimized PmFeB structure.

The structure belongs to space group F-43m (No. 216); the cell edges are 5.9306, 5.9306 and 5.9306 Å and the angles 90.00°, 90.00° and 90.00°. The inequivalent atoms are Pm at (0.0000, 0.0000, 0.0000), Fe at (0.0000, 0.0000, 0.5000) and B at (0.2500, 0.2500, 0.7500).

Which one sits at the bottom of the stability order? arrangement one does.

Arrangement one

DFT (GGA-PBE) results for a geometry-optimized PrFeB structure.

The structure belongs to space group F-43m (No. 216); the cell edges are 6.1667, 6.1667 and 6.1667 Å and the angles 90.00°, 90.00° and 90.00°. The inequivalent atoms are Pr at (0.0000, 0.0000, 0.0000), Fe at (0.2500, 0.2500, 0.2500) and B at (0.2500, 0.2500, 0.7500).

Arrangement two

DFT (GGA-PBE) results for a geometry-optimized PrFeB structure.

The structure belongs to space group F-43m (No. 216); the cell edges are 5.9241, 5.9241 and 5.9241 Å and the angles 90.00°, 90.00° and 90.00°. The inequivalent atoms are Pr at (0.0000, 0.0000, 0.0000), Fe at (0.2500, 0.2500, 0.7500) and B at (0.0000, 0.0000, 0.5000).

Arrangement three

DFT (GGA-PBE) results for a geometry-optimized PrFeB structure.

The structure belongs to space group F-43m (No. 216); the cell edges are 6.0270, 6.0270 and 6.0270 Å and the angles 90.00°, 90.00° and 90.00°. The inequivalent atoms are Pr at (0.0000, 0.0000, 0.0000), Fe at (0.0000, 0.0000, 0.5000) and B at (0.2500, 0.2500, 0.7500).

Which one sits at the bottom of the stability order? arrangement one does.

Arrangement one

DFT (GGA-PBE) results for a geometry-optimized PrFeB4 structure.

The structure belongs to space group Immm (No. 71); the cell edges are 3.1307, 5.4319 and 7.8596 Å and the angles 90.00°, 90.00° and 90.00°. The inequivalent atoms are Pr at (0.0000, 0.0000, 0.0000), Fe at (0.0000, 0.0000, 0.5000) and B at (0.0000, 0.3356, 0.2456).

Arrangement two

DFT (GGA-PBE) results for a geometry-optimized PrFeB4 structure.

The structure belongs to space group P6/mmm (No. 191); the cell edges are 3.1624, 3.1624 and 6.9285 Å and the angles 90.00°, 90.00° and 120.00°. The inequivalent atoms are Pr at (0.0000, 0.0000, 0.0000), Fe at (0.0000, 0.0000, 0.5000) and B at (0.3333, 0.6667, 0.3125).

Which one sits at the bottom of the stability order? arrangement one does.

Arrangement one

DFT (GGA-PBE) results for a geometry-optimized FeB4Pt structure.

The structure belongs to space group Immm (No. 71); the cell edges are 3.0269, 5.1605 and 6.9226 Å and the angles 90.00°, 90.00° and 90.00°. The inequivalent atoms are Fe at (0.0000, 0.0000, 0.0000), B at (0.0000, 0.3300, 0.2665) and Pt at (0.0000, 0.0000, 0.5000).

Arrangement two

DFT (GGA-PBE) results for a geometry-optimized FeB4Pt structure.

The structure belongs to space group P6/mmm (No. 191); the cell edges are 3.0046, 3.0046 and 6.7926 Å and the angles 90.00°, 90.00° and 120.00°. The inequivalent atoms are Fe at (0.0000, 0.0000, 0.0000), B at (0.3333, 0.6667, 0.2252) and Pt at (0.0000, 0.0000, 0.5000).

Which one sits at the bottom of the stability order? arrangement one does.

Arrangement one

DFT (GGA-PBE) results for a geometry-optimized FeBPtW structure.

The structure belongs to space group F-43m (No. 216); the cell edges are 5.9146, 5.9146 and 5.9146 Å and the angles 90.00°, 90.00° and 90.00°. The inequivalent atoms are Fe at (0.0000, 0.0000, 0.0000), B at (0.2500, 0.2500, 0.7500), Pt at (0.2500, 0.2500, 0.2500) and W at (0.0000, 0.0000, 0.5000).

Arrangement two

DFT (GGA-PBE) results for a geometry-optimized FeBPtW structure.

The structure belongs to space group F-43m (No. 216); the cell edges are 5.9203, 5.9203 and 5.9203 Å and the angles 90.00°, 90.00° and 90.00°. The inequivalent atoms are Fe at (0.0000, 0.0000, 0.0000), B at (0.2500, 0.2500, 0.7500), Pt at (0.0000, 0.0000, 0.5000) and W at (0.2500, 0.2500, 0.2500).

Which one sits at the bottom of the stability order? arrangement two does.

Arrangement one

DFT (GGA-PBE) results for a geometry-optimized RbFeB structure.

The structure belongs to space group F-43m (No. 216); the cell edges are 6.3022, 6.3022 and 6.3022 Å and the angles 90.00°, 90.00° and 90.00°. The inequivalent atoms are Rb at (0.0000, 0.0000, 0.0000), Fe at (0.2500, 0.2500, 0.7500) and B at (0.0000, 0.0000, 0.5000).

Arrangement two

DFT (GGA-PBE) results for a geometry-optimized RbFeB structure.

The structure belongs to space group F-43m (No. 216); the cell edges are 6.5508, 6.5508 and 6.5508 Å and the angles 90.00°, 90.00° and 90.00°. The inequivalent atoms are Rb at (0.0000, 0.0000, 0.0000), Fe at (0.0000, 0.0000, 0.5000) and B at (0.2500, 0.2500, 0.7500).

Which one sits at the bottom of the stability order? arrangement one does.

Arrangement one

DFT (GGA-PBE) results for a geometry-optimized RbFeB4 structure.

The structure belongs to space group P6/mmm (No. 191); the cell edges are 3.0384, 3.0384 and 8.2296 Å and the angles 90.00°, 90.00° and 120.00°. The inequivalent atoms are Rb at (0.0000, 0.0000, 0.0000), Fe at (0.0000, 0.0000, 0.5000) and B at (0.3333, 0.6667, 0.3219).

Arrangement two

DFT (GGA-PBE) results for a geometry-optimized RbFeB4 structure.

The structure belongs to space group Immm (No. 71); the cell edges are 2.6391, 5.8019 and 9.1025 Å and the angles 90.00°, 90.00° and 90.00°. The inequivalent atoms are Rb at (0.0000, 0.0000, 0.0000), Fe at (0.0000, 0.0000, 0.5000) and B at (0.0000, 0.3543, 0.2289).

Which one sits at the bottom of the stability order? arrangement two does.

Arrangement one

DFT (GGA-PBE) results for a geometry-optimized YFeReB structure.

The structure belongs to space group F-43m (No. 216); the cell edges are 6.1040, 6.1040 and 6.1040 Å and the angles 90.00°, 90.00° and 90.00°. The inequivalent atoms are Y at (0.0000, 0.0000, 0.0000), Fe at (0.2500, 0.2500, 0.7500), Re at (0.2500, 0.2500, 0.2500) and B at (0.0000, 0.0000, 0.5000).

Arrangement two

DFT (GGA-PBE) results for a geometry-optimized YFeReB structure.

The structure belongs to space group F-43m (No. 216); the cell edges are 6.2293, 6.2293 and 6.2293 Å and the angles 90.00°, 90.00° and 90.00°. The inequivalent atoms are Y at (0.0000, 0.0000, 0.0000), Fe at (0.0000, 0.0000, 0.5000), Re at (0.2500, 0.2500, 0.7500) and B at (0.2500, 0.2500, 0.2500).

Which one sits at the bottom of the stability order? arrangement one does.

Arrangement one

DFT (GGA-PBE) results for a geometry-optimized ZnFeReB structure.

The structure belongs to space group F-43m (No. 216); the cell edges are 5.7093, 5.7093 and 5.7093 Å and the angles 90.00°, 90.00° and 90.00°. The inequivalent atoms are Zn at (0.0000, 0.0000, 0.0000), Fe at (0.0000, 0.0000, 0.5000), Re at (0.2500, 0.2500, 0.7500) and B at (0.2500, 0.2500, 0.2500).

Arrangement two

DFT (GGA-PBE) results for a geometry-optimized ZnFeReB structure.

The structure belongs to space group F-43m (No. 216); the cell edges are 5.6734, 5.6734 and 5.6734 Å and the angles 90.00°, 90.00° and 90.00°. The inequivalent atoms are Zn at (0.0000, 0.0000, 0.0000), Fe at (0.2500, 0.2500, 0.7500), Re at (0.2500, 0.2500, 0.2500) and B at (0.0000, 0.0000, 0.5000).

Which one sits at the bottom of the stability order? arrangement one does.

Arrangement one

DFT (GGA-PBE) results for a geometry-optimized YScFeB structure.

The structure belongs to space group F-43m (No. 216); the cell edges are 6.2061, 6.2061 and 6.2061 Å and the angles 90.00°, 90.00° and 90.00°. The inequivalent atoms are Y at (0.0000, 0.0000, 0.0000), Sc at (0.2500, 0.2500, 0.2500), Fe at (0.2500, 0.2500, 0.7500) and B at (0.0000, 0.0000, 0.5000).

Arrangement two

DFT (GGA-PBE) results for a geometry-optimized YScFeB structure.

The structure belongs to space group F-43m (No. 216); the cell edges are 6.2172, 6.2172 and 6.2172 Å and the angles 90.00°, 90.00° and 90.00°. The inequivalent atoms are Y at (0.0000, 0.0000, 0.0000), Sc at (0.2500, 0.2500, 0.7500), Fe at (0.0000, 0.0000, 0.5000) and B at (0.2500, 0.2500, 0.2500).

Which one sits at the bottom of the stability order? arrangement one does.

Arrangement one

DFT (GGA-PBE) results for a geometry-optimized FeSiB structure.

The structure belongs to space group F-43m (No. 216); the cell edges are 4.9256, 4.9256 and 4.9256 Å and the angles 90.00°, 90.00° and 90.00°. The inequivalent atoms are Fe at (0.0000, 0.0000, 0.0000), Si at (0.0000, 0.0000, 0.5000) and B at (0.2500, 0.2500, 0.2500).

Arrangement two

DFT (GGA-PBE) results for a geometry-optimized FeSiB structure.

The structure belongs to space group F-43m (No. 216); the cell edges are 5.0683, 5.0683 and 5.0683 Å and the angles 90.00°, 90.00° and 90.00°. The inequivalent atoms are Fe at (0.0000, 0.0000, 0.0000), Si at (0.2500, 0.2500, 0.2500) and B at (0.2500, 0.2500, 0.7500).

Which one sits at the bottom of the stability order? arrangement two does.

Arrangement one

DFT (GGA-PBE) results for a geometry-optimized SmFeB structure.

The structure belongs to space group F-43m (No. 216); the cell edges are 5.9034, 5.9034 and 5.9034 Å and the angles 90.00°, 90.00° and 90.00°. The inequivalent atoms are Sm at (0.0000, 0.0000, 0.0000), Fe at (0.0000, 0.0000, 0.5000) and B at (0.2500, 0.2500, 0.7500).

Arrangement two

DFT (GGA-PBE) results for a geometry-optimized SmFeB structure.

The structure belongs to space group F-43m (No. 216); the cell edges are 6.2006, 6.2006 and 6.2006 Å and the angles 90.00°, 90.00° and 90.00°. The inequivalent atoms are Sm at (0.0000, 0.0000, 0.0000), Fe at (0.2500, 0.2500, 0.2500) and B at (0.2500, 0.2500, 0.7500).

Which one sits at the bottom of the stability order? arrangement two does.